[1]
# PBE-GGA PrSmErPb, optimized geometry
data_PrSmErPb
_chemical_formula_sum 'Pr4 Sm4 Er4 Pb4'
_symmetry_space_group_name_H-M 'F -4 3 m'
_symmetry_Int_Tables_number 216
_symmetry_space_group_name_Hall 'F -4 2 3'
_cell_length_a 7.895
_cell_length_b 7.895
_cell_length_c 7.895
_cell_angle_alpha 90.00
_cell_angle_beta 90.00
_cell_angle_gamma 90.00
loop_
_atom_site_label
_atom_site_type_symbol
_atom_site_fract_x
_atom_site_fract_y
_atom_site_fract_z
Pr1 Pr 0.000 0.000 0.000
Sm1 Sm 0.000 0.000 0.500
Er1 Er 0.250 0.250 0.250
Pb1 Pb 0.250 0.250 0.750
# Total magnetic moment = 0.00 μB per formula unit
# ΔE_f = -0.144 eV per atom
# E = -4.586 eV/atom
# V = 30.76 Å³ per atom
# DOS at the Fermi energy = 1.92 states/eV per atom

[2]
# PBE-GGA TbCuSb3, optimized geometry
data_TbCuSb3
_chemical_formula_sum 'Tb4 Cu4 Sb12'
_symmetry_space_group_name_H-M 'P b c m'
_symmetry_Int_Tables_number 57
_cell_length_a 12.481
_cell_length_b 6.243
_cell_length_c 6.206
_cell_angle_alpha 90.00
_cell_angle_beta 90.00
_cell_angle_gamma 90.00
loop_
_symmetry_equiv_pos_as_xyz
'x,y,z'
'-x,-y,-z'
'-x,-y,z+1/2'
'x,y,-z+1/2'
'x,-y+1/2,-z'
'-x,y+1/2,z'
'-x,y+1/2,-z+1/2'
'x,-y+1/2,z+1/2'
loop_
_atom_site_label
_atom_site_type_symbol
_atom_site_fract_x
_atom_site_fract_y
_atom_site_fract_z
Tb1 Tb 0.192 0.000 0.250
Cu1 Cu 0.390 0.250 0.000
Sb1 Sb 0.003 0.250 0.000
Sb2 Sb 0.265 0.508 0.250
Sb3 Sb 0.444 0.634 0.750
# Total magnetic moment = 0.00 μB per formula unit
# E = -4.613 eV/atom
# V = 24.18 Å³ per atom
# DOS at the Fermi energy = 0.46 states/eV per atom
# Formation energy from raw total energies = -0.39 eV/atom

[3]
# PBE-GGA Na3Pt5Br12, optimized geometry
data_Na3Pt5Br12
_chemical_formula_sum 'Na24 Pt40 Br96'
_symmetry_space_group_name_H-M 'I a -3 d'
_symmetry_Int_Tables_number 230
_symmetry_space_group_name_Hall '-I 4bd 2c 3'
_cell_length_a 16.645
_cell_length_b 16.645
_cell_length_c 16.645
_cell_angle_alpha 90.00
_cell_angle_beta 90.00
_cell_angle_gamma 90.00
loop_
_atom_site_label
_atom_site_type_symbol
_atom_site_fract_x
_atom_site_fract_y
_atom_site_fract_z
Na1 Na 0.000 0.250 0.125
Pt1 Pt 0.000 0.000 0.000
Pt2 Pt 0.000 0.250 0.375
Br1 Br 0.023 0.045 0.648
# Total magnetic moment = 0.00 μB per formula unit
# E = -3.073 eV/atom
# V = 28.82 Å³ per atom
# DOS at the Fermi energy = 0.47 states/eV per atom
# Formation energy from raw total energies = -0.36 eV/atom

[4]
# PBE-GGA TiCdS2O, optimized geometry
data_TiCdS2O
_chemical_formula_sum 'Ti1 Cd1 S2 O1'
_symmetry_space_group_name_H-M 'P 4/m m m'
_symmetry_Int_Tables_number 123
_symmetry_space_group_name_Hall '-P 4 2'
_cell_length_a 4.473
_cell_length_b 4.473
_cell_length_c 6.055
_cell_angle_alpha 90.00
_cell_angle_beta 90.00
_cell_angle_gamma 90.00
loop_
_atom_site_label
_atom_site_type_symbol
_atom_site_fract_x
_atom_site_fract_y
_atom_site_fract_z
Ti1 Ti 0.000 0.000 0.000
Cd1 Cd 0.000 0.000 0.500
S1 S 0.000 0.500 0.000
O1 O 0.500 0.500 0.500
# Total magnetic moment = 0.00 μB per formula unit
# E = -4.188 eV/atom
# V = 24.23 Å³ per atom
# DOS at the Fermi energy = 1.01 states/eV per atom
# Formation energy from raw total energies = 0.22 eV/atom

[5]
# PBE-GGA La4SnSeI2, optimized geometry
data_La4SnSeI2
_chemical_formula_sum 'La4 Sn1 Se1 I2'
_symmetry_space_group_name_H-M 'P 1 2/m 1'
_symmetry_Int_Tables_number 10
_cell_length_a 7.774
_cell_length_b 4.538
_cell_length_c 8.133
_cell_angle_alpha 90.00
_cell_angle_beta 109.15
_cell_angle_gamma 90.00
loop_
_symmetry_equiv_pos_as_xyz
'x,y,z'
'-x,-y,-z'
'-x,y,-z'
'x,-y,z'
loop_
_atom_site_label
_atom_site_type_symbol
_atom_site_fract_x
_atom_site_fract_y
_atom_site_fract_z
La1 La 0.221 0.000 0.208
La2 La 0.244 0.500 0.783
Sn1 Sn 0.500 0.000 0.000
Se1 Se 0.000 0.500 0.000
I1 I 0.000 0.000 0.500
I2 I 0.500 0.500 0.500
# Total magnetic moment = 0.00 μB per formula unit
# E = -5.036 eV/atom
# V = 33.87 Å³ per atom
# DOS at the Fermi energy = 0.53 states/eV per atom
# Formation energy from raw total energies = -1.25 eV/atom

[6]
# PBE-GGA HgIrSe2, optimized geometry
data_HgIrSe2
_chemical_formula_sum 'Hg1 Ir1 Se2'
_symmetry_space_group_name_H-M 'P 1 m 1'
_symmetry_Int_Tables_number 6
_cell_length_a 4.481
_cell_length_b 4.275
_cell_length_c 5.579
_cell_angle_alpha 90.00
_cell_angle_beta 90.07
_cell_angle_gamma 90.00
loop_
_symmetry_equiv_pos_as_xyz
'x,y,z'
'x,-y,z'
loop_
_atom_site_label
_atom_site_type_symbol
_atom_site_fract_x
_atom_site_fract_y
_atom_site_fract_z
Hg1 Hg 0.000 0.000 0.000
Ir1 Ir 0.498 0.500 0.496
Se1 Se 0.498 0.000 0.692
Se2 Se 0.997 0.500 0.330
# Total magnetic moment = 0.00 μB per formula unit
# E = -3.949 eV/atom
# V = 26.72 Å³ per atom
# DOS at the Fermi energy = 0.34 states/eV per atom
# Formation energy from raw total energies = 0.08 eV/atom

[7]
# PBE-GGA PmPaTcRh, optimized geometry
data_PmPaTcRh
_chemical_formula_sum 'Pm4 Pa4 Tc4 Rh4'
_symmetry_space_group_name_H-M 'F -4 3 m'
_symmetry_Int_Tables_number 216
_symmetry_space_group_name_Hall 'F -4 2 3'
_cell_length_a 6.951
_cell_length_b 6.951
_cell_length_c 6.951
_cell_angle_alpha 90.00
_cell_angle_beta 90.00
_cell_angle_gamma 90.00
loop_
_atom_site_label
_atom_site_type_symbol
_atom_site_fract_x
_atom_site_fract_y
_atom_site_fract_z
Pm1 Pm 0.000 0.000 0.000
Pa1 Pa 0.000 0.000 0.500
Tc1 Tc 0.250 0.250 0.250
Rh1 Rh 0.250 0.250 0.750
# Total magnetic moment = 0.00 μB per formula unit
# ΔE_f = -0.286 eV per atom
# E = -8.277 eV/atom
# V = 20.99 Å³ per atom
# DOS at the Fermi energy = 0.86 states/eV per atom

[8]
# PBE-GGA RePN2F, optimized geometry
data_RePN2F
_chemical_formula_sum 'Re1 P1 N2 F1'
_symmetry_space_group_name_H-M 'P 4/m m m'
_symmetry_Int_Tables_number 123
_symmetry_space_group_name_Hall '-P 4 2'
_cell_length_a 3.747
_cell_length_b 3.747
_cell_length_c 3.620
_cell_angle_alpha 90.00
_cell_angle_beta 90.00
_cell_angle_gamma 90.00
loop_
_atom_site_label
_atom_site_type_symbol
_atom_site_fract_x
_atom_site_fract_y
_atom_site_fract_z
Re1 Re 0.000 0.000 0.000
P1 P 0.500 0.500 0.500
N1 N 0.000 0.500 0.500
F1 F 0.500 0.500 0.000
# Total magnetic moment = 3.07 μB per formula unit
# Polymorph energy (0 for the lowest one) = 536 meV/atom
# E = -6.140 eV/atom
# V = 10.17 Å³ per atom
# DOS at the Fermi energy = 0.29 states/eV per atom
# Formation energy from raw total energies = 1.14 eV/atom